# TbDy3Si4, optimized geometry, DFT PBE
# symmetry	Pm, No. 6
# magnetic moment	0.01	μB per formula unit
# uncorrected energy	-5.8479	eV per atom
data_TbDy3Si4
_cell_length_a 5.708
_cell_length_b 3.839
_cell_length_c 7.915
_cell_angle_alpha 90.00
_cell_angle_beta 90.02
_cell_angle_gamma 90.00
_symmetry_space_group_name_H-M 'P 1'
_symmetry_Int_Tables_number 1
_symmetry_space_group_name_Hall 'P 1'
loop_
_atom_site_label
_atom_site_fract_x
_atom_site_fract_y
_atom_site_fract_z
Tb1 0.000 0.000 0.000
Dy1 0.230 0.500 0.358
Dy2 0.500 0.500 0.858
Dy3 0.730 0.000 0.500
Si1 0.244 0.000 0.641
Si2 0.486 0.000 0.141
Si3 0.744 0.500 0.217
Si4 0.986 0.500 0.717



# Tb2DyZn4Si4, optimized geometry, DFT PBE
# symmetry	Immm, No. 71
# magnetic moment	0.00	μB per formula unit
# uncorrected energy	-4.2342	eV per atom
data_Tb2DyZn4Si4
_cell_length_a 12.626
_cell_length_b 12.626
_cell_length_c 12.626
_cell_angle_alpha 161.66
_cell_angle_beta 161.31
_cell_angle_gamma 26.30
_symmetry_space_group_name_H-M 'P 1'
_symmetry_Int_Tables_number 1
_symmetry_space_group_name_Hall 'P 1'
loop_
_atom_site_label
_atom_site_fract_x
_atom_site_fract_y
_atom_site_fract_z
Tb1 0.144 0.144 0.000
Tb2 0.856 0.856 0.000
Dy1 0.500 0.000 0.500
Zn1 0.250 0.750 0.500
Zn2 0.406 0.406 0.000
Zn3 0.594 0.594 0.000
Zn4 0.750 0.250 0.500
Si1 0.047 0.547 0.500
Si2 0.311 0.311 0.000
Si3 0.689 0.689 0.000
Si4 0.953 0.453 0.500



# TbDy2Zn4Si4, optimized geometry, DFT PBE
# symmetry	Immm, No. 71
# magnetic moment	0.00	μB per formula unit
# uncorrected energy	-4.2262	eV per atom
data_TbDy2Zn4Si4
_cell_length_a 12.621
_cell_length_b 12.621
_cell_length_c 12.621
_cell_angle_alpha 161.66
_cell_angle_beta 161.32
_cell_angle_gamma 26.29
_symmetry_space_group_name_H-M 'P 1'
_symmetry_Int_Tables_number 1
_symmetry_space_group_name_Hall 'P 1'
loop_
_atom_site_label
_atom_site_fract_x
_atom_site_fract_y
_atom_site_fract_z
Tb1 0.000 0.000 0.000
Dy1 0.356 0.856 0.500
Dy2 0.644 0.144 0.500
Zn1 0.094 0.594 0.500
Zn2 0.250 0.250 0.000
Zn3 0.750 0.750 0.000
Zn4 0.906 0.406 0.500
Si1 0.189 0.689 0.500
Si2 0.453 0.453 0.000
Si3 0.547 0.547 0.000
Si4 0.811 0.311 0.500



# Dy2Si2Tc, optimized geometry, DFT PBE
# symmetry	C2/m, No. 12
# magnetic moment	0.00	μB per formula unit
# uncorrected energy	-6.8295	eV per atom
data_Dy2Si2Tc
_cell_length_a 5.809
_cell_length_b 5.809
_cell_length_c 10.108
_cell_angle_alpha 116.55
_cell_angle_beta 116.55
_cell_angle_gamma 42.14
_symmetry_space_group_name_H-M 'P 1'
_symmetry_Int_Tables_number 1
_symmetry_space_group_name_Hall 'P 1'
loop_
_atom_site_label
_atom_site_fract_x
_atom_site_fract_y
_atom_site_fract_z
Dy1 0.006 0.006 0.178
Dy2 0.187 0.187 0.610
Dy3 0.813 0.813 0.390
Dy4 0.994 0.994 0.822
Si1 0.358 0.358 0.940
Si2 0.499 0.499 0.622
Si3 0.501 0.501 0.378
Si4 0.642 0.642 0.060
Tc1 0.273 0.273 0.129
Tc2 0.727 0.727 0.871



# DySi2Tc4, optimized geometry, DFT PBE
# symmetry	Cmmm, No. 65
# magnetic moment	0.01	μB per formula unit
# uncorrected energy	-8.6478	eV per atom
data_DySi2Tc4
_cell_length_a 7.204
_cell_length_b 7.204
_cell_length_c 4.075
_cell_angle_alpha 90.00
_cell_angle_beta 90.00
_cell_angle_gamma 147.02
_symmetry_space_group_name_H-M 'P 1'
_symmetry_Int_Tables_number 1
_symmetry_space_group_name_Hall 'P 1'
loop_
_atom_site_label
_atom_site_fract_x
_atom_site_fract_y
_atom_site_fract_z
Dy1 0.000 0.000 0.000
Si1 0.412 0.588 0.500
Si2 0.588 0.412 0.500
Tc1 0.188 0.812 0.500
Tc2 0.306 0.694 0.000
Tc3 0.694 0.306 0.000
Tc4 0.812 0.188 0.500



# Dy5SiTe4, optimized geometry, DFT PBE
# symmetry	I4/m, No. 87
# magnetic moment	0.06	μB per formula unit
# uncorrected energy	-5.3586	eV per atom
data_Dy5SiTe4
_cell_length_a 7.494
_cell_length_b 7.494
_cell_length_c 7.494
_cell_angle_alpha 99.46
_cell_angle_beta 99.46
_cell_angle_gamma 132.16
_symmetry_space_group_name_H-M 'P 1'
_symmetry_Int_Tables_number 1
_symmetry_space_group_name_Hall 'P 1'
loop_
_atom_site_label
_atom_site_fract_x
_atom_site_fract_y
_atom_site_fract_z
Dy1 0.000 0.000 0.000
Dy2 0.229 0.595 0.824
Dy3 0.405 0.229 0.633
Dy4 0.595 0.771 0.367
Dy5 0.771 0.405 0.176
Si1 0.500 0.500 0.000
Te1 0.092 0.306 0.398
Te2 0.306 0.908 0.215
Te3 0.694 0.092 0.785
Te4 0.908 0.694 0.602